This record from Alexandria via LeMat-Bulk describes Mg2InSe after structural relaxation. The functional is PBE-GGA.

Lattice parameters (Å, degrees): 7.163 7.163 7.163 90.00 90.00 90.00
Space group Fm-3m (No. 225)
Asymmetric unit:
Mg: 0.250 0.250 0.250 (multiplicity 8)
In: 0.000 0.000 0.000 (multiplicity 4)
Se: 0.000 0.000 0.500 (multiplicity 4)

Calculated values
ΔE_f (raw) = -0.120 eV/atom
E above lowest polymorph = 439 meV/atom

=====

This record from Alexandria via LeMat-Bulk describes SrRu2Au after structural relaxation. The functional is PBE-GGA.

Lattice parameters (Å, degrees): 4.3340 4.3340 16.7984 90.00 90.00 120.00
Space group R3m (No. 160, hexagonal axes)
Asymmetric unit:
Sr: 0.0000 0.0000 0.0000 (multiplicity 3)
Ru: 0.0000 0.0000 0.1959 (multiplicity 3)
Ru: 0.0000 0.0000 0.5253 (multiplicity 3)
Au: 0.0000 0.0000 0.7921 (multiplicity 3)

Calculated values
energy of formation = 0.09 eV/atom
E above lowest polymorph = 0 meV/atom

=====

This record from Alexandria via LeMat-Bulk describes AuS3O after structural relaxation. The functional is PBE-GGA.

Lattice parameters (Å, degrees): 4.832 4.832 4.832 90.00 90.00 90.00
Space group Pm-3m (No. 221)
Asymmetric unit:
Au: 0.000 0.000 0.000 (multiplicity 1)
S: 0.000 0.000 0.500 (multiplicity 3)
O: 0.500 0.500 0.500 (multiplicity 1)

Calculated values
ΔE_f (raw) = 1.576 eV/atom
E above lowest polymorph = 535 meV/atom

=====

This record from Alexandria via LeMat-Bulk describes Na5LiGa6 after structural relaxation. The functional is PBE-GGA.

Lattice parameters (Å, degrees): 4.202 14.550 9.175 90.00 90.64 90.00
Space group C2/m (No. 12)
Asymmetric unit:
Na: 0.000 0.000 0.000 (multiplicity 2)
Na: 0.000 0.331 0.500 (multiplicity 4)
Na: 0.000 0.333 0.000 (multiplicity 4)
Li: 0.000 0.000 0.500 (multiplicity 2)
Ga: 0.002 0.118 0.738 (multiplicity 8)
Ga: 0.002 0.500 0.731 (multiplicity 4)

Calculated values
energy of formation = -0.05 eV/atom

=====

This record from Alexandria via LeMat-Bulk describes Li4PbCl after structural relaxation. The functional is PBE-GGA.

Lattice parameters (Å, degrees): 8.037 8.037 8.037 90.00 90.00 90.00
Space group F-43m (No. 216)
Asymmetric unit:
Li: 0.123 0.123 0.123 (multiplicity 16)
Pb: 0.250 0.250 0.750 (multiplicity 4)
Cl: 0.000 0.000 0.500 (multiplicity 4)

Calculated values
ΔE_f (raw) = -0.167 eV/atom

=====

This record from Alexandria via LeMat-Bulk describes VSi2NiAs after structural relaxation. The functional is PBE-GGA.

Lattice parameters (Å, degrees): 4.184 4.184 4.920 90.00 90.00 90.00
Space group P4/mmm (No. 123)
Asymmetric unit:
V: 0.000 0.000 0.000 (multiplicity 1)
Si: 0.000 0.500 0.500 (multiplicity 2)
Ni: 0.000 0.000 0.500 (multiplicity 1)
As: 0.500 0.500 0.000 (multiplicity 1)

Calculated values
ΔE_f (raw) = 0.415 eV/atom

=====

This record from Alexandria via LeMat-Bulk describes ThNpC2 after structural relaxation. The functional is PBE-GGA.

Lattice parameters (Å, degrees): 3.5650 3.5650 18.1483 90.00 90.00 120.00
Space group R3m (No. 160, hexagonal axes)
Asymmetric unit:
Th: 0.0000 0.0000 0.0000 (multiplicity 3)
Np: 0.0000 0.0000 0.1672 (multiplicity 3)
C: 0.0000 0.0000 0.5750 (multiplicity 3)
C: 0.0000 0.0000 0.7608 (multiplicity 3)

Calculated values
energy of formation = 0.11 eV/atom
E above lowest polymorph = 135 meV/atom

=====

This record from Alexandria via LeMat-Bulk describes TiSi2IrW after structural relaxation. The functional is PBE-GGA.

Lattice parameters (Å, degrees): 4.625 4.625 4.624 90.00 90.00 90.00
Space group P4/mmm (No. 123)
Asymmetric unit:
Ti: 0.000 0.000 0.000 (multiplicity 1)
Si: 0.000 0.500 0.500 (multiplicity 2)
Ir: 0.500 0.500 0.000 (multiplicity 1)
W: 0.000 0.000 0.500 (multiplicity 1)

Calculated values
ΔE_f (raw) = 1.152 eV/atom

=====

| no. | magnetization (μB/cell) |
| --- | --- |
| 1 | 0.00 |
| 2 | 0.00 |
| 3 | 2.62 |
| 4 | 0.00 |
| 5 | 3.34 |
| 6 | 2.10 |
| 7 | 8.50 |
| 8 | 0.00 |